(1)
YZn3Au3 after structural relaxation. Source: Alexandria via LeMat-Bulk, functional GGA-PBE.

```
YZn3Au3
1.0
3.521 2.033 6.229
-3.521 2.033 6.229
0.000 -4.066 6.229
Y Zn Au
2 6 6
direct
0.162 0.162 0.162 Y
0.838 0.838 0.838 Y
0.045 0.605 0.227 Zn
0.227 0.045 0.605 Zn
0.395 0.773 0.955 Zn
0.605 0.227 0.045 Zn
0.773 0.955 0.395 Zn
0.955 0.395 0.773 Zn
0.192 0.676 0.428 Au
0.324 0.572 0.808 Au
0.428 0.192 0.676 Au
0.572 0.808 0.324 Au
0.676 0.428 0.192 Au
0.808 0.324 0.572 Au
```

Output
The total energy is -3.274 eV per atom. The formation energy comes out at -0.400 eV/atom. The calculation puts the density of states at the Fermi level at 3.207 states/eV/f.u.

(2)
BaTaW2 after structural relaxation. Source: Alexandria via LeMat-Bulk, functional GGA-PBE.

```
BaTaW2
1.0
1.665 -2.430 0.000
1.665 2.430 0.000
0.000 0.000 10.331
Ba Ta W
1 1 2
direct
0.000 0.000 0.000 Ba
0.000 0.000 0.500 Ta
0.500 0.500 0.292 W
0.500 0.500 0.708 W
```

Output
The total energy is -9.061 eV per atom. The formation energy comes out at 0.859 eV/atom. The calculation puts the density of states at the Fermi level at 3.186 states/eV/f.u.

(3)
Li2TaZnFe after structural relaxation. Source: Alexandria via LeMat-Bulk, functional GGA-PBE.

```
Li2TaZnFe
1.0
5.075 0.000 0.000
0.000 5.075 0.000
0.000 0.000 4.281
Li Ta Zn Fe
2 1 1 1
direct
0.000 0.500 0.000 Li
0.500 0.000 0.000 Li
0.000 0.000 0.000 Ta
0.500 0.500 0.500 Zn
0.000 0.000 0.500 Fe
```

Output
The total energy is -3.701 eV per atom. The formation energy comes out at 1.382 eV/atom. The calculation puts the density of states at the Fermi level at 4.451 states/eV/f.u.

(4)
CdTcBr3 after structural relaxation. Source: Alexandria via LeMat-Bulk, functional GGA-PBE.

```
CdTcBr3
1.0
5.227 0.000 0.000
0.000 5.227 0.000
0.000 0.000 5.227
Cd Tc Br
1 1 3
direct
0.000 0.000 0.000 Cd
0.500 0.500 0.500 Tc
0.000 0.500 0.500 Br
0.500 0.000 0.500 Br
0.500 0.500 0.000 Br
```

Output
For the raw formation energy, the calculation gives 0.06 eV per atom. The total energy is -3.204 eV per atom. The calculation puts the density of states at the Fermi level at 3.085 states/eV/f.u.

(5)
Fe2HgRhCl after structural relaxation. Source: Alexandria via LeMat-Bulk, functional GGA-PBE.

```
Fe2HgRhCl
1.0
4.194 0.000 0.000
0.000 4.194 0.000
0.000 0.000 4.543
Fe Hg Rh Cl
2 1 1 1
direct
0.000 0.500 0.000 Fe
0.500 0.000 0.000 Fe
0.000 0.000 0.500 Hg
0.500 0.500 0.500 Rh
0.500 0.500 0.000 Cl
```

Output
For the raw formation energy, the calculation gives 0.66 eV per atom. The total energy is -4.625 eV per atom. The calculation puts the density of states at the Fermi level at 3.720 states/eV/f.u.

(6)
DyEr4Al after structural relaxation. Source: Alexandria via LeMat-Bulk, functional GGA-PBE.

```
DyEr4Al
1.0
4.321 -6.847 0.000
4.321 6.847 0.000
-1.953 0.000 5.849
Dy Er Al
2 8 2
direct
0.092 0.908 0.750 Dy
0.908 0.092 0.250 Dy
0.102 0.339 0.877 Er
0.216 0.586 0.456 Er
0.339 0.102 0.377 Er
0.414 0.784 0.044 Er
0.586 0.216 0.956 Er
0.661 0.898 0.623 Er
0.784 0.414 0.544 Er
0.898 0.661 0.123 Er
0.499 0.501 0.250 Al
0.501 0.499 0.750 Al
```

Output
The total energy is -4.470 eV per atom. The formation energy comes out at -0.037 eV/atom. The calculation puts the density of states at the Fermi level at 7.417 states/eV/f.u.

(7)
Na3PbF6 after structural relaxation. Source: Alexandria via LeMat-Bulk, functional GGA-PBE.

```
Na3PbF6
1.0
2.956 1.707 5.147
-2.956 1.707 5.147
0.000 -3.414 5.147
Na Pb F
3 1 6
direct
0.000 0.000 0.000 Na
0.213 0.213 0.213 Na
0.715 0.715 0.715 Na
0.504 0.504 0.504 Pb
0.114 0.402 0.804 F
0.313 0.889 0.606 F
0.402 0.804 0.114 F
0.606 0.313 0.889 F
0.804 0.114 0.402 F
0.889 0.606 0.313 F
```

Output
For the raw formation energy, the calculation gives -2.48 eV per atom. The total energy is -4.372 eV per atom. The calculation puts the density of states at the Fermi level at 3.390 states/eV/f.u.

(8)
As2SeSF after structural relaxation. Source: Alexandria via LeMat-Bulk, functional GGA-PBE.

```
As2SeSF
1.0
4.282 0.000 0.000
0.000 4.282 0.000
0.000 0.000 5.491
As Se S F
2 1 1 1
direct
0.000 0.500 0.000 As
0.500 0.000 0.000 As
0.000 0.000 0.500 Se
0.500 0.500 0.500 S
0.000 0.000 0.000 F
```

Output
For the raw formation energy, the calculation gives 0.64 eV per atom. The total energy is -3.113 eV per atom. The calculation puts the density of states at the Fermi level at 3.982 states/eV/f.u.

(9)
NbTeH2Au after structural relaxation. Source: Alexandria via LeMat-Bulk, functional GGA-PBE.

```
NbTeH2Au
1.0
3.920 0.000 0.000
0.000 3.920 0.000
0.000 0.000 5.486
Nb Te H Au
1 1 2 1
direct
0.000 0.000 0.000 Nb
0.500 0.500 0.500 Te
0.000 0.500 0.000 H
0.500 0.000 0.000 H
0.000 0.000 0.500 Au
```

Output
The total energy is -4.217 eV per atom. The calculation puts the density of states at the Fermi level at 3.288 states/eV/f.u.

(10)
Pm6PrCd2 after structural relaxation. Source: Alexandria via LeMat-Bulk, functional GGA-PBE.

```
Pm6PrCd2
1.0
7.905 -5.832 0.000
7.905 5.832 0.000
-0.682 0.000 6.173
Pm Pr Cd
12 2 4
direct
0.064 0.821 0.990 Pm
0.147 0.399 0.165 Pm
0.179 0.936 0.510 Pm
0.232 0.530 0.691 Pm
0.399 0.147 0.665 Pm
0.470 0.768 0.809 Pm
0.530 0.232 0.191 Pm
0.601 0.853 0.335 Pm
0.768 0.470 0.309 Pm
0.821 0.064 0.490 Pm
0.853 0.601 0.835 Pm
0.936 0.179 0.010 Pm
0.393 0.607 0.250 Pr
0.607 0.393 0.750 Pr
0.038 0.290 0.594 Cd
0.290 0.038 0.094 Cd
0.710 0.962 0.906 Cd
0.962 0.710 0.406 Cd
```

Output
The total energy is -3.969 eV per atom. The formation energy comes out at -0.067 eV/atom. The calculation puts the density of states at the Fermi level at 11.710 states/eV/f.u.